A geometry-optimized PaBeCo structure, computed with PBE.

a b c (Å): 4.312 4.312 4.312
angles (deg): 60.00 60.00 60.00
Positions (direct):
Pa (0.000, 0.000, 0.000)
Be (0.750, 0.750, 0.750)
Co (0.250, 0.250, 0.250)

Output
- raw total energy (eV per atom) = -5.9053
- offset from the most stable computed form (meV/atom) = 1173
- magnetization (μB/cell) = 0.00